Record 1
# LiDyPu

Crystalline LiDyPu at its relaxed geometry (PBE-GGA, Alexandria).

Values from the calculation:
crystal system = trigonal
energy relative to the lowest polymorph listed for this composition = 0.0 kJ/mol of atoms
energy of formation from the pure elements = 236 meV/atom

Geometry as POSCAR:
```
LiDyPu
1.0
-1.303 2.856 -1.208
0.023 -2.775 -1.901
-7.460 -2.128 3.015
Dy Li Pu
1 1 1
Cartesian
-3.369 0.264 -0.426
-5.400 -2.319 0.343
-7.430 -2.119 3.003
```

Record 2
# SrPr2Hg2

Crystalline SrPr2Hg2 at its relaxed geometry (PBE-GGA, Alexandria).

Values from the calculation:
crystal system = orthorhombic
energy of formation from the pure elements = -313 meV/atom

Geometry as POSCAR:
```
SrPr2Hg2
1.0
3.848 0.000 0.000
0.000 3.859 0.731
0.000 -0.094 11.048
Pr Hg Sr
2 2 1
Cartesian
0.000 0.628 7.238
0.000 3.138 4.541
1.924 2.232 9.321
1.924 1.533 2.459
0.000 0.000 0.000
```

Record 3
# NaThPb

Crystalline NaThPb at its relaxed geometry (PBE-GGA, Alexandria).

Values from the calculation:
crystal system = trigonal
energy of formation from the pure elements = 89 meV/atom

Geometry as POSCAR:
```
NaThPb
1.0
4.998 0.000 0.000
2.499 4.329 0.000
2.499 1.443 9.182
Th Na Pb
2 2 2
Cartesian
2.499 1.443 1.096
7.498 4.329 8.086
2.499 1.443 5.334
7.498 4.329 3.849
4.998 2.886 2.511
4.998 2.886 6.671
```

Record 4
# PrNd2PuO8

Crystalline PrNd2PuO8 at its relaxed geometry (PBE-GGA, Alexandria).

Values from the calculation:
E_form (uncorrected) = -2.9756 eV per atom
crystal system = triclinic

Geometry as POSCAR:
```
PrNd2PuO8
1.0
4.074 -0.257 -0.001
-0.261 5.573 -0.008
0.005 0.005 7.629
O Nd Pr Pu
8 2 1 1
Cartesian
2.152 4.244 -0.006
3.826 1.060 5.985
1.666 1.077 7.626
-0.003 4.272 5.986
3.821 1.049 1.634
-0.008 4.262 1.635
1.819 4.026 3.811
1.999 1.295 3.809
1.910 2.659 5.675
1.908 2.662 1.945
0.002 0.003 3.814
0.000 0.000 0.000
```

Record 5
# Mn2CoRe

Crystalline Mn2CoRe at its relaxed geometry (PBE-GGA, Alexandria).

Values from the calculation:
crystal system = orthorhombic
energy of formation from the pure elements = 115 meV/atom

Geometry as POSCAR:
```
Mn2CoRe
1.0
-4.134 0.688 1.452
2.328 -2.028 3.184
0.720 2.318 0.950
Re Co Mn
1 1 2
Cartesian
-1.707 1.503 1.201
1.524 0.145 2.067
-0.903 -0.670 2.318
0.000 0.000 0.000
```

Record 6
# CsPtW2

Crystalline CsPtW2 at its relaxed geometry (PBE-GGA, Alexandria).

Values from the calculation:
crystal system = cubic
energy relative to the lowest polymorph listed for this composition = 13.3 kJ/mol of atoms
energy of formation from the pure elements = 1825 meV/atom

Geometry as POSCAR:
```
CsPtW2
1.0
0.000 3.324 3.324
3.324 0.000 3.324
3.324 3.324 0.000
W Pt Cs
2 1 1
Cartesian
1.662 1.662 1.662
4.986 4.986 4.986
3.324 3.324 3.324
0.000 0.000 0.000
```

Record 7
# Mg6AlCuO8

Crystalline Mg6AlCuO8 at its relaxed geometry (PBE-GGA, Alexandria).

Values from the calculation:
E_form (uncorrected) = -2.3868 eV per atom
crystal system = tetragonal
energy relative to the lowest polymorph listed for this composition = 4.6 kJ/mol of atoms

Geometry as POSCAR:
```
Mg6AlCuO8
1.0
-3.538 -1.224 -1.926
2.154 -0.613 -3.565
1.563 -8.231 2.359
Mg O Al Cu
6 8 1 1
Cartesian
0.781 -4.115 1.179
-1.387 -2.621 -0.387
0.089 -5.034 -1.566
-0.588 -6.833 0.820
2.258 -6.528 0.000
1.458 -2.316 -1.207
0.346 -1.823 0.522
-0.987 -4.727 0.216
1.217 -6.408 1.836
1.077 -0.306 -1.783
0.451 -6.941 -1.020
-0.273 -3.126 -2.113
-1.769 -0.612 -0.963
1.858 -4.422 -0.603
0.000 0.000 0.000
-0.692 -0.918 -2.746
```

Record 8
# TiV2Cu

Crystalline TiV2Cu at its relaxed geometry (PBE-GGA, Alexandria).

Values from the calculation:
crystal system = tetragonal
energy relative to the lowest polymorph listed for this composition = 44.0 kJ/mol of atoms
energy of formation from the pure elements = 478 meV/atom

Geometry as POSCAR:
```
TiV2Cu
1.0
-4.921 1.343 -4.568
-2.228 -6.456 0.503
-5.119 -1.878 -0.169
Ti V Cu
2 4 2
Cartesian
-3.575 -2.556 -2.033
-5.461 -5.445 -0.850
-10.132 -5.989 -3.676
-6.484 -3.219 -1.660
-4.715 -0.415 -2.910
-3.206 -4.359 -0.224
0.000 0.000 0.000
-6.808 -1.546 -3.385
```

Record 9
# K2TbAuCl6

Crystalline K2TbAuCl6 at its relaxed geometry (PBE-GGA, Alexandria).

Values from the calculation:
E_form (uncorrected) = -1.6356 eV per atom
crystal system = cubic

Geometry as POSCAR:
```
K2TbAuCl6
1.0
-2.291 -3.569 6.305
-7.160 -2.479 0.574
-1.465 -7.454 -0.173
K Cl Au Tb
2 6 1 1
Cartesian
-8.188 -10.127 5.030
-2.729 -3.376 1.677
-3.427 -7.109 1.559
-6.324 -4.577 1.939
-4.592 -8.925 4.767
-7.490 -6.393 5.147
-7.070 -8.370 1.851
-3.847 -5.132 4.855
-5.458 -6.751 3.353
0.000 0.000 0.000
```

Record 10
# Ga3GePt12

Crystalline Ga3GePt12 at its relaxed geometry (PBE-GGA, Alexandria).

Values from the calculation:
crystal system = tetragonal
energy of formation from the pure elements = -413 meV/atom

Geometry as POSCAR:
```
Ga3GePt12
1.0
3.952 0.000 0.000
0.000 3.952 0.000
0.000 0.000 15.782
Pt Ga Ge
12 3 1
Cartesian
1.976 0.000 5.923
1.976 0.000 1.992
1.976 1.976 3.948
1.976 0.000 13.789
0.000 1.976 1.992
1.976 1.976 11.834
0.000 1.976 9.859
1.976 1.976 0.000
1.976 0.000 9.859
0.000 1.976 5.923
1.976 1.976 7.891
0.000 1.976 13.789
0.000 0.000 11.783
0.000 0.000 3.999
0.000 0.000 7.891
0.000 0.000 0.000
```

Record 11
# LaOs2W

Crystalline LaOs2W at its relaxed geometry (PBE-GGA, Alexandria).

Values from the calculation:
crystal system = orthorhombic
energy relative to the lowest polymorph listed for this composition = 36.6 kJ/mol of atoms
energy of formation from the pure elements = 516 meV/atom

Geometry as POSCAR:
```
LaOs2W
1.0
2.890 -0.004 0.000
-1.153 2.650 0.000
0.000 0.000 9.296
La W Os
1 1 2
Cartesian
0.869 1.323 6.972
0.869 1.323 2.324
0.000 0.000 4.390
0.000 0.000 0.258
```

Record 12
# Hf2NpF11

Crystalline Hf2NpF11 at its relaxed geometry (PBE-GGA, Alexandria).

Values from the calculation:
E_form (uncorrected) = -3.7219 eV per atom
crystal system = orthorhombic

Geometry as POSCAR:
```
Hf2NpF11
1.0
-3.614 -0.205 6.908
4.522 -2.491 6.694
0.791 6.758 5.017
F Hf Np
22 4 2
Cartesian
-0.958 0.667 10.628
-0.440 4.039 9.834
0.559 0.805 14.438
2.656 3.395 7.991
1.251 5.575 8.711
-1.218 -0.303 5.855
0.849 2.031 9.309
1.138 3.257 4.181
1.764 -0.197 6.234
0.344 2.237 6.747
0.446 -1.513 9.908
1.144 4.697 6.279
2.915 4.365 12.764
1.354 1.825 11.872
0.554 -0.635 12.340
-1.158 4.367 7.415
2.856 -0.305 11.204
-0.085 1.257 2.297
0.000 0.000 0.000
1.782 2.805 16.322
-0.066 4.259 12.385
2.137 0.023 8.785
0.653 3.733 8.088
-1.668 4.905 11.310
3.365 -0.843 7.309
1.044 0.329 10.531
1.273 3.047 13.964
0.424 1.016 4.655
```

Record 13
# NaMo2Os2

Crystalline NaMo2Os2 at its relaxed geometry (PBE-GGA, Alexandria).

Values from the calculation:
crystal system = tetragonal
energy relative to the lowest polymorph listed for this composition = 0.0 kJ/mol of atoms
energy of formation from the pure elements = 334 meV/atom

Geometry as POSCAR:
```
NaMo2Os2
1.0
-7.735 -1.101 -0.405
1.163 -6.854 -3.588
0.053 -1.281 2.464
Os Na Mo
4 2 4
Cartesian
-6.182 -4.025 -0.394
-2.562 -2.017 0.572
-3.956 -7.218 -2.102
-0.336 -5.210 -1.136
0.000 0.000 0.000
-3.286 -3.977 -1.997
-0.724 -2.583 -1.327
-1.740 -6.237 -3.205
-4.832 -1.718 -0.789
-5.847 -5.372 -2.667
```

Record 14
# ScSi3Se

Crystalline ScSi3Se at its relaxed geometry (PBE-GGA, Alexandria).

Values from the calculation:
E_form (uncorrected) = 0.7660 eV per atom
crystal system = cubic
energy relative to the lowest polymorph listed for this composition = 0.0 kJ/mol of atoms

Geometry as POSCAR:
```
ScSi3Se
1.0
4.816 0.000 0.000
0.000 4.816 0.000
0.000 0.000 4.816
Sc Se Si
1 1 3
Cartesian
2.408 2.408 2.408
0.000 0.000 0.000
0.000 0.000 2.408
2.408 0.000 0.000
0.000 2.408 0.000
```

Record 15
# NaTiRh3

Crystalline NaTiRh3 at its relaxed geometry (PBE-GGA, Alexandria).

Values from the calculation:
crystal system = cubic
energy relative to the lowest polymorph listed for this composition = 0.0 kJ/mol of atoms
energy of formation from the pure elements = 415 meV/atom

Geometry as POSCAR:
```
NaTiRh3
1.0
4.612 0.000 0.000
0.000 4.612 0.000
0.000 0.000 4.612
Rh Ti Na
3 1 1
Cartesian
2.306 0.000 0.000
0.000 0.000 2.306
0.000 2.306 0.000
0.000 0.000 0.000
2.306 2.306 2.306
```

Record 16
# BeTc2Ir

Crystalline BeTc2Ir at its relaxed geometry (PBE-GGA, Alexandria).

Values from the calculation:
crystal system = tetragonal
energy of formation from the pure elements = 7 meV/atom

Geometry as POSCAR:
```
BeTc2Ir
1.0
4.686 -0.004 0.000
1.730 4.355 0.000
-3.208 -2.176 2.633
Tc Be Ir
2 1 1
Cartesian
0.865 2.177 1.317
0.000 0.000 0.000
3.208 2.176 0.000
2.343 -0.002 1.317
```

Record 17
# TbMgNiAg

Crystalline TbMgNiAg at its relaxed geometry (PBE-GGA, Alexandria).

Values from the calculation:
crystal system = cubic
energy of formation from the pure elements = -235 meV/atom

Geometry as POSCAR:
```
TbMgNiAg
1.0
-2.862 0.433 3.821
-4.755 0.181 -0.576
-2.724 -3.693 1.385
Mg Ni Tb Ag
1 1 1 1
Cartesian
-2.585 -0.770 1.157
-5.170 -1.540 2.315
-7.756 -2.309 3.472
0.000 0.000 0.000
```

Record 18
# KSn2Ge4

Crystalline KSn2Ge4 at its relaxed geometry (PBE-GGA, Alexandria).

Values from the calculation:
crystal system = tetragonal
energy of formation from the pure elements = 890 meV/atom

Geometry as POSCAR:
```
KSn2Ge4
1.0
-0.059 -5.182 -1.492
5.390 -0.104 0.148
2.424 -4.751 6.657
Sn K Ge
2 1 4
Cartesian
2.615 -3.089 0.877
5.141 -6.948 4.435
0.000 0.000 0.000
2.695 -0.052 0.074
2.530 -3.828 3.448
5.226 -6.209 1.864
-0.029 -2.591 -0.746
```

Record 19
# MnReTcW

Crystalline MnReTcW at its relaxed geometry (PBE-GGA, Alexandria).

Values from the calculation:
crystal system = cubic
energy of formation from the pure elements = 32 meV/atom

Geometry as POSCAR:
```
MnReTcW
1.0
4.366 0.000 0.000
2.183 3.781 0.000
2.183 1.260 3.564
Re W Mn Tc
1 1 1 1
Cartesian
6.548 3.781 2.673
0.000 0.000 0.000
4.366 2.520 1.782
2.183 1.260 0.891
```

Record 20
# Mg2Ga2O5

Crystalline Mg2Ga2O5 at its relaxed geometry (PBE-GGA, Alexandria).

Values from the calculation:
E_form (uncorrected) = -2.1017 eV per atom
crystal system = monoclinic

Geometry as POSCAR:
```
Mg2Ga2O5
1.0
3.039 0.000 -0.660
-0.209 5.172 -0.961
-0.070 -0.329 7.001
O Ga Mg
5 2 2
Cartesian
0.000 0.000 0.000
2.558 2.197 4.451
0.202 2.647 0.930
0.725 4.576 3.336
2.035 0.268 2.045
2.494 0.449 4.156
0.266 4.395 1.225
1.673 1.402 0.378
1.087 3.442 5.003
```

N(E_F) across the listed records, respectively: 8.98, 4.90, 4.10, 1.50, 5.04, 4.66, 1.40, 10.65, 0.00, 11.88, 3.78, 15.21, 6.62, 4.62, 5.57, 4.35, 2.68, 4.66, 3.56, 0.00 states/eV/cell.